(1)
Here is a relaxed structure of YSb2IBr from Alexandria via LeMat-Bulk. Energies are from PBE.

Cell: 5.9235 5.9235 5.8072 Å, 90.00 90.00 90.00°
Space group P4/mmm (No. 123)
Asymmetric unit:
Y1 0.0000 0.0000 0.0000
Sb1 0.0000 0.5000 0.0000
I1 0.0000 0.0000 0.5000
Br1 0.5000 0.5000 0.5000

## Properties
Magnetic moment, μB/cell: 0.00
Energy relative to the elements, uncorrected, eV/f.u.: 0.0
Raw total energy, eV/cell: -17.96

(2)
Here is a relaxed structure of ZnSbI2Br from Alexandria via LeMat-Bulk. Energies are from PBE.

Cell: 5.4108 5.4108 5.6239 Å, 90.00 90.00 90.00°
Space group P4/mmm (No. 123)
Asymmetric unit:
Zn1 0.0000 0.0000 0.0000
Sb1 0.0000 0.0000 0.5000
I1 0.0000 0.5000 0.0000
Br1 0.5000 0.5000 0.5000

## Properties
Magnetic moment, μB/cell: 0.00
Energy relative to the elements, uncorrected, eV/f.u.: 1.1
Raw total energy, eV/cell: -9.07

(3)
Here is a relaxed structure of ScIBr from Alexandria via LeMat-Bulk. Energies are from PBE.

Cell: 3.9100 3.9100 7.4185 Å, 90.00 90.00 120.00°
Space group P3m1 (No. 156)
Asymmetric unit:
Sc1 0.0000 0.0000 0.0000
I1 0.3333 0.6667 0.7500
Br1 0.6667 0.3333 0.2182

## Properties
Magnetic moment, μB/cell: 0.00
Energy relative to the elements, uncorrected, eV/f.u.: -3.9
Raw total energy, eV/cell: -13.45

(4)
Here is a relaxed structure of ScIBr2 from Alexandria via LeMat-Bulk. Energies are from PBE.

Cell: 3.7813 3.7813 39.6635 Å, 90.00 90.00 120.00°
Space group R-3m (No. 166, hexagonal axes)
Asymmetric unit:
Sc1 0.0000 0.0000 0.0000
I1 0.0000 0.0000 0.5000
Br1 0.0000 0.0000 0.0609

## Properties
Magnetic moment, μB/cell: 0.37
Energy relative to the elements, uncorrected, eV/f.u.: -1.8
Raw total energy, eV/cell: -38.97

(5)
Here is a relaxed structure of ScIBr2 from Alexandria via LeMat-Bulk. Energies are from PBE.

Cell: 7.5011 7.5011 7.5011 Å, 90.00 90.00 90.00°
Space group Fm-3m (No. 225)
Asymmetric unit:
Sc1 0.0000 0.0000 0.0000
I1 0.0000 0.0000 0.5000
Br1 0.2500 0.2500 0.2500

## Properties
Magnetic moment, μB/cell: 0.00
Energy relative to the elements, uncorrected, eV/f.u.: -2.1
Raw total energy, eV/cell: -53.43

(6)
Here is a relaxed structure of ScIBr2 from Alexandria via LeMat-Bulk. Energies are from PBE.

Cell: 3.7046 3.7046 33.7052 Å, 90.00 90.00 120.00°
Space group R-3m (No. 166, hexagonal axes)
Asymmetric unit:
Sc1 0.0000 0.0000 0.0000
I1 0.0000 0.0000 0.5000
Br1 0.0000 0.0000 0.3830

## Properties
Magnetic moment, μB/cell: 0.00
Energy relative to the elements, uncorrected, eV/f.u.: -4.4
Raw total energy, eV/cell: -46.75

| no. | E above lowest polymorph (eV/atom) |
| --- | --- |
| 1 | 0.000 |
| 2 | 0.000 |
| 3 | 0.010 |
| 4 | 1.052 |
| 5 | 0.960 |
| 6 | 0.404 |